Model w:
Here is a relaxed CeSnGe2 crystal from Alexandria. Energies are from PBE-GGA.

Lattice parameters (Å, degrees): 7.619 7.619 7.619 36.83 36.83 36.83
Positions (direct):
Ce: 0.000 0.000 0.000
Sn: 0.500 0.500 0.500
Ge: 0.381 0.381 0.381
Ge: 0.619 0.619 0.619

## Properties
* spin magnetization: 0.28 Bohr magnetons per cell

---

Model x:
Here is a relaxed CeSnGe2 crystal from Alexandria. Energies are from PBE-GGA.

Lattice parameters (Å, degrees): 4.567 4.567 4.247 90.00 90.00 90.00
Positions (direct):
Ce: 0.000 0.000 0.000
Sn: 0.500 0.500 0.000
Ge: 0.000 0.500 0.500
Ge: 0.500 0.000 0.500

## Properties
* spin magnetization: 0.00 Bohr magnetons per cell

---

Model y:
Here is a relaxed CeSnGe2 crystal from Alexandria. Energies are from PBE-GGA.

Lattice parameters (Å, degrees): 3.812 3.812 6.329 90.00 90.00 90.00
Positions (direct):
Ce: 0.000 0.000 0.000
Sn: 0.000 0.000 0.500
Ge: 0.500 0.500 0.280
Ge: 0.500 0.500 0.720

## Properties
* spin magnetization: 0.79 Bohr magnetons per cell

---

Quick one: most stable of them? model x

---

Model w:
Here is a relaxed SrCeGe4 crystal from Alexandria. Energies are from PBE-GGA.

Lattice parameters (Å, degrees): 7.755 17.826 4.406 90.00 90.00 90.00
Positions (direct):
Sr: 0.130 0.168 0.000
Sr: 0.370 0.668 0.000
Sr: 0.630 0.332 0.000
Sr: 0.870 0.832 0.000
Ce: 0.132 0.413 0.000
Ce: 0.368 0.913 0.000
Ce: 0.632 0.087 0.000
Ce: 0.868 0.587 0.000
Ge: 0.036 0.684 0.500
Ge: 0.095 0.938 0.500
Ge: 0.148 0.538 0.500
Ge: 0.211 0.804 0.500
Ge: 0.289 0.304 0.500
Ge: 0.352 0.038 0.500
Ge: 0.405 0.438 0.500
Ge: 0.464 0.184 0.500
Ge: 0.536 0.816 0.500
Ge: 0.595 0.562 0.500
Ge: 0.648 0.962 0.500
Ge: 0.711 0.696 0.500
Ge: 0.789 0.196 0.500
Ge: 0.852 0.462 0.500
Ge: 0.905 0.062 0.500
Ge: 0.964 0.316 0.500

## Properties
* spin magnetization: 2.48 Bohr magnetons per cell

---

Model x:
Here is a relaxed SrCeGe4 crystal from Alexandria. Energies are from PBE-GGA.

Lattice parameters (Å, degrees): 5.764 5.764 5.764 60.00 60.00 60.00
Positions (direct):
Sr: 0.000 0.000 0.000
Ce: 0.250 0.250 0.250
Ge: 0.130 0.623 0.623
Ge: 0.623 0.130 0.623
Ge: 0.623 0.623 0.130
Ge: 0.623 0.623 0.623

## Properties
* spin magnetization: 1.38 Bohr magnetons per cell

---

Quick one: most stable of them? model w

---

Model w:
Here is a relaxed TbCe2Ge crystal from Alexandria. Energies are from PBE-GGA.

Lattice parameters (Å, degrees): 11.579 11.579 11.579 16.06 16.06 16.06
Positions (direct):
Tb: 0.000 0.000 0.000
Ce: 0.094 0.094 0.094
Ce: 0.906 0.906 0.906
Ge: 0.500 0.500 0.500

## Properties
* spin magnetization: 0.00 Bohr magnetons per cell

---

Model x:
Here is a relaxed TbCe2Ge crystal from Alexandria. Energies are from PBE-GGA.

Lattice parameters (Å, degrees): 4.410 4.410 5.029 90.00 90.00 90.00
Positions (direct):
Tb: 0.000 0.000 0.000
Ce: 0.000 0.500 0.500
Ce: 0.500 0.000 0.500
Ge: 0.500 0.500 0.000

## Properties
* spin magnetization: 0.65 Bohr magnetons per cell

---

Quick one: most stable of them? model x

---

Model w:
Here is a relaxed TbCe2Ge crystal from Alexandria. Energies are from PBE-GGA.

Lattice parameters (Å, degrees): 4.308 4.267 11.168 90.00 100.60 90.00
Positions (direct):
Tb: 0.197 0.250 0.395
Tb: 0.803 0.750 0.605
Ce: 0.101 0.750 0.122
Ce: 0.484 0.750 0.874
Ce: 0.516 0.250 0.126
Ce: 0.899 0.250 0.878
Ge: 0.323 0.250 0.667
Ge: 0.677 0.750 0.333

## Properties
* spin magnetization: 0.00 Bohr magnetons per cell

---

Model x:
Here is a relaxed TbCe2Ge crystal from Alexandria. Energies are from PBE-GGA.

Lattice parameters (Å, degrees): 3.988 3.988 6.853 90.00 90.00 90.00
Positions (direct):
Tb: 0.000 0.000 0.000
Ce: 0.500 0.500 0.304
Ce: 0.500 0.500 0.696
Ge: 0.000 0.000 0.500

## Properties
* spin magnetization: 1.56 Bohr magnetons per cell

---

Quick one: most stable of them? model w

---

Model w:
Here is a relaxed Tb2CeGe crystal from Alexandria. Energies are from PBE-GGA.

Lattice parameters (Å, degrees): 4.739 4.739 4.486 90.00 90.00 90.00
Positions (direct):
Tb: 0.000 0.500 0.000
Tb: 0.500 0.000 0.000
Ce: 0.000 0.000 0.500
Ge: 0.500 0.500 0.500

## Properties
* spin magnetization: 0.00 Bohr magnetons per cell

---

Model x:
Here is a relaxed Tb2CeGe crystal from Alexandria. Energies are from PBE-GGA.

Lattice parameters (Å, degrees): 10.222 10.222 10.222 20.34 20.34 20.34
Positions (direct):
Tb: 0.236 0.236 0.236
Tb: 0.764 0.764 0.764
Ce: 0.000 0.000 0.000
Ge: 0.500 0.500 0.500

## Properties
* spin magnetization: 1.10 Bohr magnetons per cell

---

Quick one: most stable of them? model w

---

Model w:
Here is a relaxed TbCe2Ge2 crystal from Alexandria. Energies are from PBE-GGA.

Lattice parameters (Å, degrees): 7.709 7.709 4.293 90.00 90.00 90.00
Positions (direct):
Tb: 0.000 0.000 0.000
Tb: 0.500 0.500 0.000
Ce: 0.173 0.327 0.500
Ce: 0.327 0.827 0.500
Ce: 0.673 0.173 0.500
Ce: 0.827 0.673 0.500
Ge: 0.127 0.627 0.000
Ge: 0.373 0.127 0.000
Ge: 0.627 0.873 0.000
Ge: 0.873 0.373 0.000

## Properties
* spin magnetization: 2.62 Bohr magnetons per cell

---

Model x:
Here is a relaxed TbCe2Ge2 crystal from Alexandria. Energies are from PBE-GGA.

Lattice parameters (Å, degrees): 5.789 4.884 9.370 90.00 104.59 90.00
Positions (direct):
Tb: 0.219 0.250 0.252
Tb: 0.781 0.750 0.748
Ce: 0.271 0.250 0.635
Ce: 0.371 0.750 0.979
Ce: 0.629 0.250 0.021
Ce: 0.729 0.750 0.365
Ge: 0.080 0.250 0.899
Ge: 0.266 0.750 0.465
Ge: 0.734 0.250 0.535
Ge: 0.920 0.750 0.101

## Properties
* spin magnetization: 0.97 Bohr magnetons per cell

---

Quick one: most stable of them? model w